Run P
# PBE-GGA Cs2HfTe, relaxed
data_Cs2HfTe
_chemical_formula_sum 'Cs8 Hf4 Te4'
_cell_length_a 14.013
_cell_length_b 14.013
_cell_length_c 5.534
_cell_angle_alpha 90.00
_cell_angle_beta 90.00
_cell_angle_gamma 90.00
_symmetry_space_group_name_H-M 'I -4 2 d'
_symmetry_Int_Tables_number 122
_symmetry_space_group_name_Hall 'I -4 2bw'
loop_
_atom_site_label
_atom_site_fract_x
_atom_site_fract_y
_atom_site_fract_z
_atom_site_occupancy
Cs1 0.090 0.750 0.125 1
Hf1 0.000 0.000 0.500 1
Te1 0.000 0.000 0.000 1
# Total moment (Bohr magnetons per cell): 8.01

---

Run Q
# PBE-GGA Cs2HfTe, relaxed
data_Cs2HfTe
_chemical_formula_sum 'Cs8 Hf4 Te4'
_cell_length_a 9.124
_cell_length_b 9.124
_cell_length_c 9.124
_cell_angle_alpha 90.00
_cell_angle_beta 90.00
_cell_angle_gamma 90.00
_symmetry_space_group_name_H-M 'F m -3 m'
_symmetry_Int_Tables_number 225
_symmetry_space_group_name_Hall '-F 4 2 3'
loop_
_atom_site_label
_atom_site_fract_x
_atom_site_fract_y
_atom_site_fract_z
_atom_site_occupancy
Cs1 0.250 0.250 0.250 1
Hf1 0.000 0.000 0.000 1
Te1 0.000 0.000 0.500 1
# Total moment (Bohr magnetons per cell): 8.00

---

Relative energy of each structure, in meV per atom: run P 0; run Q 432.

---

Run P
# PBE-GGA Cs2Hf2Tl, relaxed
data_Cs2Hf2Tl
_chemical_formula_sum 'Cs4 Hf4 Tl2'
_cell_length_a 3.977
_cell_length_b 3.977
_cell_length_c 26.939
_cell_angle_alpha 90.00
_cell_angle_beta 90.00
_cell_angle_gamma 90.00
_symmetry_space_group_name_H-M 'I 4/m m m'
_symmetry_Int_Tables_number 139
_symmetry_space_group_name_Hall '-I 4 2'
loop_
_atom_site_label
_atom_site_fract_x
_atom_site_fract_y
_atom_site_fract_z
_atom_site_occupancy
Cs1 0.000 0.000 0.111 1
Hf1 0.000 0.500 0.250 1
Tl1 0.000 0.000 0.500 1
# Total moment (Bohr magnetons per cell): 1.75

---

Run Q
# PBE-GGA Cs2Hf2Tl, relaxed
data_Cs2Hf2Tl
_chemical_formula_sum 'Cs4 Hf4 Tl2'
_cell_length_a 11.610
_cell_length_b 11.610
_cell_length_c 3.337
_cell_angle_alpha 90.00
_cell_angle_beta 90.00
_cell_angle_gamma 90.00
_symmetry_space_group_name_H-M 'P 4/m b m'
_symmetry_Int_Tables_number 127
_symmetry_space_group_name_Hall '-P 4 2ab'
loop_
_atom_site_label
_atom_site_fract_x
_atom_site_fract_y
_atom_site_fract_z
_atom_site_occupancy
Cs1 0.206 0.294 0.000 1
Hf1 0.079 0.579 0.500 1
Tl1 0.000 0.000 0.000 1
# Total moment (Bohr magnetons per cell): 0.65

---

Relative energy of each structure, in meV per atom: run P 0; run Q 479.